(1)
The following is a GGA-PBE calculation of a relaxed structure of PdRuI3, from Alexandria via LeMat-Bulk.

## Properties
Total DFT energy (no corrections): -14.54 eV per cell
Symmetry: Pm-3m
Formation energy (no corrections): 0.92 eV/atom
D(E_F): 17.37 states/eV/cell

Lattice parameters (Å, degrees): 5.455 5.455 5.455 90.00 90.00 90.00
Atoms (fractional coordinates):
1 Pd 0.000 0.000 0.000
2 I 0.000 0.500 0.000
3 Ru 0.500 0.500 0.500
4 I 0.500 0.000 0.000
5 I 0.000 0.000 0.500

---

(2)
The following is a GGA-PBE calculation of a relaxed structure of PdRuI3, from Alexandria via LeMat-Bulk.

## Properties
Total DFT energy (no corrections): -15.53 eV per cell
Symmetry: Pm-3m
Formation energy (no corrections): 0.72 eV/atom
D(E_F): 7.26 states/eV/cell

Lattice parameters (Å, degrees): 5.417 5.417 5.417 90.00 90.00 90.00
Atoms (fractional coordinates):
1 I 0.000 0.500 0.000
2 I 0.500 0.000 0.000
3 Ru 0.000 0.000 0.000
4 I 0.000 0.000 0.500
5 Pd 0.500 0.500 0.500

---

(3)
The following is a GGA-PBE calculation of a relaxed structure of Pd3RuI, from Alexandria via LeMat-Bulk.

## Properties
Total DFT energy (no corrections): -21.07 eV per cell
Symmetry: Pm-3m
Formation energy (no corrections): 1.07 eV/atom
D(E_F): 7.49 states/eV/cell

Lattice parameters (Å, degrees): 4.866 4.866 4.866 90.00 90.00 90.00
Atoms (fractional coordinates):
1 I 0.500 0.500 0.500
2 Pd 0.000 0.000 0.500
3 Pd 0.500 0.000 0.000
4 Ru 0.000 0.000 0.000
5 Pd 0.000 0.500 0.000